The following is a DFT calculation (PBE) of a geometry-optimized NaBeAgP structure.

```
data_NaBeAgP
_chemical_formula_sum 'Na2 Be2 Ag2 P2'
_cell_length_a 3.721
_cell_length_b 3.721
_cell_length_c 10.845
_cell_angle_alpha 90.00
_cell_angle_beta 90.00
_cell_angle_gamma 90.00
_space_group_name_H-M_alt 'P 4/n m m'
_space_group_IT_number 129
loop_
_space_group_symop_operation_xyz
'x,y,z'
'-x,-y,-z'
'-y+1/2,x,z'
'y+1/2,-x,-z'
'-x+1/2,-y+1/2,z'
'x+1/2,y+1/2,-z'
'y,-x+1/2,z'
'-y,x+1/2,-z'
'x+1/2,-y,-z'
'-x+1/2,y,z'
'-y,-x,-z'
'y,x,z'
'-x,y+1/2,-z'
'x,-y+1/2,z'
'y+1/2,x+1/2,-z'
'-y+1/2,-x+1/2,z'
loop_
_atom_site_label
_atom_site_fract_x
_atom_site_fract_y
_atom_site_fract_z
_atom_site_occupancy
Na1 0.250 0.250 0.246 1
Be1 0.250 0.750 0.000 1
Ag1 0.250 0.750 0.500 1
P1 0.250 0.250 0.882 1
```

Output
N(E_F)   1.8 states/eV per cell
Size of the total moment   0.0 μB/cell
VASP energy   -14.1 eV/f.u.
Calculated volume   18.77 Å³/atom
Calculated formation energy   -0.80 eV per formula unit

The following is a DFT calculation (PBE) of a geometry-optimized Pr3Sm5Sc2 structure.

```
data_Pr3Sm5Sc2
_chemical_formula_sum 'Pr6 Sm10 Sc4'
_cell_length_a 9.467
_cell_length_b 9.471
_cell_length_c 9.471
_cell_angle_alpha 106.64
_cell_angle_beta 106.70
_cell_angle_gamma 115.20
_space_group_name_H-M_alt 'P -1'
_space_group_IT_number 2
loop_
_space_group_symop_operation_xyz
'x,y,z'
'-x,-y,-z'
loop_
_atom_site_label
_atom_site_fract_x
_atom_site_fract_y
_atom_site_fract_z
_atom_site_occupancy
Pr1 0.028 0.074 0.348 1
Pr2 0.179 0.529 0.448 1
Pr3 0.421 0.270 0.948 1
Sm1 0.120 0.371 0.751 1
Sm2 0.225 0.679 0.151 1
Sm3 0.272 0.825 0.847 1
Sm4 0.368 0.118 0.249 1
Sm5 0.480 0.426 0.654 1
Sc1 0.072 0.220 0.049 1
Sc2 0.333 0.977 0.549 1
```

Output
N(E_F)   29.4 states/eV per cell
Size of the total moment   0.0 μB/cell
VASP energy   -50.2 eV/f.u.
Calculated volume   32.45 Å³/atom
Calculated formation energy   0.42 eV per formula unit

The following is a DFT calculation (PBE) of a geometry-optimized KSr2SnH structure.

```
data_KSr2SnH
_chemical_formula_sum 'K1 Sr2 Sn1 H1'
_cell_length_a 5.419
_cell_length_b 5.419
_cell_length_c 5.045
_cell_angle_alpha 90.00
_cell_angle_beta 90.00
_cell_angle_gamma 90.00
_space_group_name_H-M_alt 'P 4/m m m'
_space_group_IT_number 123
_space_group_name_Hall '-P 4 2'
loop_
_atom_site_label
_atom_site_fract_x
_atom_site_fract_y
_atom_site_fract_z
_atom_site_occupancy
K1 0.000 0.000 0.000 1
Sr1 0.000 0.500 0.500 1
Sn1 0.500 0.500 0.000 1
H1 0.000 0.000 0.500 1
```

Output
N(E_F)   0.8 states/eV per cell
Size of the total moment   0.0 μB/cell
VASP energy   -13.7 eV/f.u.
Calculated volume   29.63 Å³/atom